1.
Compound: LiUNi10
Source: Alexandria via LeMat-Bulk
Functional: PBE
Structure: relaxed

Unit cell a=3.9818 b=4.7821 c=8.1861 alpha=90.00 beta=90.00 gamma=90.00
With the nearest neighbours (Å) after each atom.
Positions (direct):
Li 0.0000 0.0000 0.0000  6 Ni 2.68-2.75
U 0.0000 0.5000 0.5000  6 Ni 2.73-2.78
Ni 0.0000 0.0000 0.3272  6 Ni 2.41-2.44, 1 Li 2.68
Ni 0.0000 0.0000 0.6728  6 Ni 2.41-2.44, 1 Li 2.68
Ni 0.0000 0.5000 0.1668  6 Ni 2.41-2.42
Ni 0.0000 0.5000 0.8332  6 Ni 2.41-2.42
Ni 0.5000 0.0000 0.5000  8 Ni 2.36-2.44
Ni 0.5000 0.2536 0.2523  8 Ni 2.36-2.43
Ni 0.5000 0.2536 0.7477  8 Ni 2.36-2.43
Ni 0.5000 0.5000 0.0000  8 Ni 2.38-2.41
Ni 0.5000 0.7464 0.2523  8 Ni 2.36-2.43
Ni 0.5000 0.7464 0.7477  8 Ni 2.36-2.43

Calculated values
ΔE_f (meV/atom): -64.7
Total magnetic moment (μB/atom): 0.162
Crystal system: orthorhombic
E_tot (Ry per atom): -0.4397



2.
Compound: LiUNi6
Source: Alexandria via LeMat-Bulk
Functional: PBE
Structure: relaxed

Unit cell a=5.1791 b=5.1791 c=3.6849 alpha=90.00 beta=90.00 gamma=90.00
With the nearest neighbours (Å) after each atom.
Positions (direct):
Li 0.0000 0.0000 0.0000  12 Ni 2.58-2.59
U 0.5000 0.5000 0.0000  12 Ni 2.59-2.62
Ni 0.0000 0.5000 0.0000  2 Li 2.59, 2 U 2.59, 8 Ni 2.60
Ni 0.2464 0.2464 0.5000  8 Ni 2.55-2.63, 2 Li 2.58, 2 U 2.62
Ni 0.2464 0.7536 0.5000  8 Ni 2.55-2.63, 2 Li 2.58, 2 U 2.62
Ni 0.5000 0.0000 0.0000  2 Li 2.59, 2 U 2.59, 8 Ni 2.60
Ni 0.7536 0.2464 0.5000  8 Ni 2.55-2.63, 2 Li 2.58, 2 U 2.62
Ni 0.7536 0.7536 0.5000  8 Ni 2.55-2.63, 2 Li 2.58, 2 U 2.62

Calculated values
ΔE_f (meV/atom): -203.1
Total magnetic moment (μB/atom): 0.000
Crystal system: tetragonal
E_tot (Ry per atom): -0.4549



3.
Compound: Li2U2Ni15
Source: Alexandria via LeMat-Bulk
Functional: PBE
Structure: relaxed

Unit cell a=6.3425 b=6.3425 c=6.3425 alpha=82.53 beta=82.53 gamma=82.53
With the nearest neighbours (Å) after each atom.
Positions (direct):
Li 0.1270 0.1270 0.1270  12 Ni 2.80-2.88, 1 Li 3.13
Li 0.8730 0.8730 0.8730  12 Ni 2.80-2.88, 1 Li 3.13
U 0.3972 0.3972 0.3972  1 U 2.54, 6 Ni 2.54-2.61
U 0.6028 0.6028 0.6028  1 U 2.54, 6 Ni 2.54-2.61
Ni 0.0000 0.5000 0.5000  8 Ni 2.44-2.46, 2 U 2.54
Ni 0.1572 0.1572 0.6673  8 Ni 2.37-2.52, 1 U 2.61
Ni 0.1572 0.6673 0.1572  8 Ni 2.37-2.52, 1 U 2.61
Ni 0.1775 0.5000 0.8225  8 Ni 2.46-2.70
Ni 0.1775 0.8225 0.5000  8 Ni 2.46-2.70
Ni 0.3327 0.8428 0.8428  8 Ni 2.37-2.52, 1 U 2.61
Ni 0.5000 0.0000 0.5000  8 Ni 2.44-2.46, 2 U 2.54
Ni 0.5000 0.1775 0.8225  8 Ni 2.46-2.70
Ni 0.5000 0.5000 0.0000  8 Ni 2.44-2.46, 2 U 2.54
Ni 0.5000 0.8225 0.1775  8 Ni 2.46-2.70
Ni 0.6673 0.1572 0.1572  8 Ni 2.37-2.52, 1 U 2.61
Ni 0.8225 0.1775 0.5000  8 Ni 2.46-2.70
Ni 0.8225 0.5000 0.1775  8 Ni 2.46-2.70
Ni 0.8428 0.3327 0.8428  8 Ni 2.37-2.52, 1 U 2.61
Ni 0.8428 0.8428 0.3327  8 Ni 2.37-2.52, 1 U 2.61

Calculated values
ΔE_f (meV/atom): -28.1
Total magnetic moment (μB/atom): 0.249
Crystal system: trigonal
E_tot (Ry per atom): -0.4397
ΔE to the lowest computed polymorph (meV/atom): 126.2



4.
Compound: Li2VNi6
Source: Alexandria via LeMat-Bulk
Functional: PBE
Structure: relaxed

Unit cell a=6.7757 b=6.7757 c=4.6364 alpha=93.04 beta=93.04 gamma=99.50
With the nearest neighbours (Å) after each atom.
Positions (direct):
Li 0.1228 0.1521 0.3972  2 Li 2.34, 5 Ni 2.35-2.61
Li 0.1521 0.1228 0.8972  2 Li 2.34, 5 Ni 2.35-2.61
Li 0.8479 0.8772 0.1028  2 Li 2.34, 5 Ni 2.35-2.61
Li 0.8772 0.8479 0.6028  2 Li 2.34, 5 Ni 2.35-2.61
V 0.4056 0.5944 0.7500  8 Ni 2.33-2.57
V 0.5944 0.4056 0.2500  8 Ni 2.33-2.57
Ni 0.0659 0.4513 0.7328  1 V 2.34, 6 Ni 2.42-2.56, 2 Li 2.54-2.58
Ni 0.1948 0.7774 0.0016  6 Ni 2.30-2.56, 1 V 2.35, 1 Li 2.47
Ni 0.2226 0.8052 0.4984  6 Ni 2.30-2.56, 1 V 2.35, 1 Li 2.47
Ni 0.2626 0.4589 0.2168  2 V 2.33-2.57, 1 Li 2.35, 4 Ni 2.42-2.54
Ni 0.4513 0.0659 0.2328  1 V 2.34, 6 Ni 2.42-2.56, 2 Li 2.54-2.58
Ni 0.4589 0.2626 0.7168  2 V 2.33-2.57, 1 Li 2.35, 4 Ni 2.42-2.54
Ni 0.5411 0.7374 0.2832  2 V 2.33-2.57, 1 Li 2.35, 4 Ni 2.42-2.54
Ni 0.5487 0.9341 0.7672  1 V 2.34, 6 Ni 2.42-2.56, 2 Li 2.54-2.58
Ni 0.7374 0.5411 0.7832  2 V 2.33-2.57, 1 Li 2.35, 4 Ni 2.42-2.54
Ni 0.7774 0.1948 0.5016  6 Ni 2.30-2.56, 1 V 2.35, 1 Li 2.47
Ni 0.8052 0.2226 0.9984  6 Ni 2.30-2.56, 1 V 2.35, 1 Li 2.47
Ni 0.9341 0.5487 0.2672  1 V 2.34, 6 Ni 2.42-2.56, 2 Li 2.54-2.58

Calculated values
ΔE_f (meV/atom): 18.2
Total magnetic moment (μB/atom): 0.000
Crystal system: monoclinic
E_tot (Ry per atom): -0.3877



5.
Compound: LiVNi3
Source: Alexandria via LeMat-Bulk
Functional: PBE
Structure: relaxed

Unit cell a=7.1276 b=7.1276 c=7.1276 alpha=40.16 beta=40.16 gamma=40.16
With the nearest neighbours (Å) after each atom.
Positions (direct):
Li 0.1687 0.1687 0.1687  6 Ni 2.61-2.68, 3 Li 2.83
Li 0.8313 0.8313 0.8313  6 Ni 2.61-2.68, 3 Li 2.83
V 0.3822 0.3822 0.3822  9 Ni 2.45
V 0.6178 0.6178 0.6178  9 Ni 2.45
Ni 0.1134 0.1134 0.6149  6 Ni 2.44-2.51, 3 V 2.45, 2 Li 2.61-2.68
Ni 0.1134 0.6149 0.1134  6 Ni 2.44-2.51, 3 V 2.45, 2 Li 2.61-2.68
Ni 0.3851 0.8866 0.8866  6 Ni 2.44-2.51, 3 V 2.45, 2 Li 2.61-2.68
Ni 0.6149 0.1134 0.1134  6 Ni 2.44-2.51, 3 V 2.45, 2 Li 2.61-2.68
Ni 0.8866 0.3851 0.8866  6 Ni 2.44-2.51, 3 V 2.45, 2 Li 2.61-2.68
Ni 0.8866 0.8866 0.3851  6 Ni 2.44-2.51, 3 V 2.45, 2 Li 2.61-2.68

Calculated values
ΔE_f (meV/atom): -4.8
Total magnetic moment (μB/atom): 0.000
Crystal system: trigonal
E_tot (Ry per atom): -0.4175
ΔE to the lowest computed polymorph (meV/atom): 0.0



6.
Compound: LiVNi2
Source: Alexandria via LeMat-Bulk
Functional: PBE
Structure: relaxed

Unit cell a=5.1387 b=5.1387 c=5.1387 alpha=103.83 beta=103.83 gamma=121.45
With the nearest neighbours (Å) after each atom.
Positions (direct):
Li 0.0000 0.0000 0.0000  4 Ni 2.35, 2 V 2.51
Li 0.7500 0.2500 0.5000  4 Ni 2.35, 2 V 2.51
V 0.2500 0.7500 0.5000  4 Ni 2.30, 2 Li 2.51
V 0.5000 0.5000 0.0000  4 Ni 2.30, 2 Li 2.51
Ni 0.1305 0.6250 0.0055  2 V 2.30, 2 Li 2.35, 2 Ni 2.51
Ni 0.3750 0.3805 0.5055  2 V 2.30, 2 Li 2.35, 2 Ni 2.51
Ni 0.6195 0.1250 0.9945  2 V 2.30, 2 Li 2.35, 2 Ni 2.51
Ni 0.8750 0.8695 0.4945  2 V 2.30, 2 Li 2.35, 2 Ni 2.51

Calculated values
ΔE_f (meV/atom): 351.5
Total magnetic moment (μB/atom): 0.284
Crystal system: tetragonal
E_tot (Ry per atom): -0.3893



7.
Compound: Li2VNi8
Source: Alexandria via LeMat-Bulk
Functional: PBE
Structure: relaxed

Unit cell a=5.8314 b=5.8314 c=3.7947 alpha=90.00 beta=90.00 gamma=104.34
With the nearest neighbours (Å) after each atom.
Positions (direct):
Li 0.1162 0.8838 0.0000  1 Li 2.14, 4 Ni 2.23-2.36
Li 0.8838 0.1162 0.0000  1 Li 2.14, 4 Ni 2.23-2.36
V 0.5000 0.5000 0.5000  12 Ni 2.35-2.57
Ni 0.1722 0.1722 0.5000  1 V 2.35, 7 Ni 2.46-2.55, 4 Li 2.50
Ni 0.1954 0.4630 0.0000  2 Li 2.36-2.61, 7 Ni 2.42-2.53, 2 V 2.57
Ni 0.2425 0.7575 0.5000  2 Li 2.23, 1 V 2.37
Ni 0.4630 0.1954 0.0000  2 Li 2.36-2.61, 7 Ni 2.42-2.53, 2 V 2.57
Ni 0.5370 0.8046 0.0000  2 Li 2.36-2.61, 7 Ni 2.42-2.53, 2 V 2.57
Ni 0.7575 0.2425 0.5000  2 Li 2.23, 1 V 2.37
Ni 0.8046 0.5370 0.0000  2 Li 2.36-2.61, 7 Ni 2.42-2.53, 2 V 2.57
Ni 0.8278 0.8278 0.5000  1 V 2.35, 7 Ni 2.46-2.55, 4 Li 2.50

Calculated values
ΔE_f (meV/atom): 132.9
Total magnetic moment (μB/atom): 0.173
Crystal system: orthorhombic
E_tot (Ry per atom): -0.3858



8.
Compound: LiVNi2
Source: Alexandria via LeMat-Bulk
Functional: PBE
Structure: relaxed

Unit cell a=8.8931 b=8.8931 c=8.8931 alpha=16.41 beta=16.41 gamma=16.41
With the nearest neighbours (Å) after each atom.
Positions (direct):
Li 0.0000 0.0000 0.0000  6 Li 2.54, 6 Ni 2.58
V 0.5000 0.5000 0.5000  2 Ni 2.26
Ni 0.4142 0.4142 0.4142  1 V 2.26
Ni 0.5858 0.5858 0.5858  1 V 2.26

Calculated values
ΔE_f (meV/atom): 183.1
Total magnetic moment (μB/atom): 0.017
Crystal system: trigonal
E_tot (Ry per atom): -0.4017